The following is a DFT calculation (GGA-PBE) of a geometry-optimized TlSb2 structure.

- formation energy without anion corrections (eV per atom) = 0.05
- final energy (eV per formula unit) = -10.47
- space group = P-3m1 (164)
- theoretical density (g/cm3) = 7.5

Unit cell a=4.1641 b=4.1641 c=6.6020 alpha=90.00 beta=90.00 gamma=120.00
Atoms (fractional coordinates):
Sb  0.3333  0.6667  0.3706
Tl  0.0000  0.0000  0.0000
Sb  0.6667  0.3333  0.6294


The following is a DFT calculation (GGA-PBE) of a geometry-optimized Mn21Re2C6 structure.

- final energy (eV per formula unit) = -275.78
- space group = Fm-3m (225)
- theoretical density (g/cm3) = 9.3
- energy of formation from the pure elements (eV per atom) = -0.103

Unit cell a=7.3842 b=7.3842 c=7.3842 alpha=60.00 beta=60.00 gamma=60.00
Each line ends with the local moment (μB).
Atoms (fractional coordinates):
Mn  0.0000  0.3381  0.0000  0.59
Mn  0.6164  0.1509  0.6164  0.95
Mn  0.0000  0.0000  0.3381  0.59
Mn  0.3381  0.0000  0.0000  0.59
Mn  0.3836  0.3836  0.3836  0.95
C  0.7255  0.2745  0.7255  -0.05
Mn  0.6619  0.0000  0.3381  0.59
Mn  0.0000  0.6619  0.0000  0.59
Mn  0.3381  0.6619  0.0000  0.59
Mn  0.6164  0.6164  0.1509  0.95
Mn  0.0000  0.3381  0.6619  0.59
Mn  0.6619  0.0000  0.0000  0.59
C  0.7255  0.7255  0.2745  -0.05
Mn  0.0000  0.0000  0.0000  2.09
Mn  0.1509  0.6164  0.6164  0.95
Mn  0.3381  0.0000  0.6619  0.59
Mn  0.8491  0.3836  0.3836  0.95
Mn  0.0000  0.0000  0.6619  0.59
Mn  0.3836  0.8491  0.3836  0.95
C  0.2745  0.7255  0.7255  -0.05
Mn  0.6619  0.3381  0.0000  0.59
Mn  0.0000  0.6619  0.3381  0.59
Mn  0.3836  0.3836  0.8491  0.95
Mn  0.6164  0.6164  0.6164  0.95
C  0.2745  0.2745  0.7255  -0.05
Re  0.7500  0.7500  0.7500  -0.33
Re  0.2500  0.2500  0.2500  -0.33
C  0.7255  0.2745  0.2745  -0.05
C  0.2745  0.7255  0.2745  -0.05


The following is a DFT calculation (GGA-PBE) of a geometry-optimized SrLa2Be structure.

- final energy (eV per formula unit) = -13.51
- space group = I4/mmm (139)
- theoretical density (g/cm3) = 5.1
- energy of formation from the pure elements (eV per atom) = 0.439

Unit cell a=6.0920 b=6.0920 c=6.0920 alpha=132.13 beta=132.13 gamma=70.02
Atoms (fractional coordinates):
La  0.5000  0.5000  0.0000
Be  0.7500  0.2500  0.5000
Sr  0.2500  0.7500  0.5000
La  0.0000  0.0000  0.0000


The following is a DFT calculation (GGA-PBE) of a geometry-optimized Pu4Zn3Ga16 structure.

- final energy (eV per formula unit) = -115.48
- space group = P4/mmm (123)
- theoretical density (g/cm3) = 8.6
- energy of formation from the pure elements (eV per atom) = -0.257

Unit cell a=6.3319 b=6.3319 c=11.0119 alpha=90.00 beta=90.00 gamma=90.00
Each line ends with the local moment (μB).
Atoms (fractional coordinates):
Pu  0.0000  0.5000  0.8110  5.28
Ga  0.2581  0.7419  0.3743  0.02
Ga  0.7419  0.7419  0.6257  0.02
Ga  0.7419  0.2581  0.6257  0.02
Zn  0.0000  0.0000  0.0000  -0.03
Ga  0.0000  0.0000  0.2362  0.00
Ga  0.2581  0.2581  0.3743  0.02
Ga  0.5000  0.5000  0.2002  -0.01
Ga  0.7106  0.2894  0.0000  0.02
Zn  0.0000  0.5000  0.5000  -0.01
Ga  0.2581  0.2581  0.6257  0.02
Ga  0.7106  0.7106  0.0000  0.02
Pu  0.0000  0.5000  0.1890  5.28
Ga  0.0000  0.0000  0.7638  0.00
Ga  0.7419  0.2581  0.3743  0.02
Ga  0.2894  0.7106  0.0000  0.02
Ga  0.7419  0.7419  0.3743  0.02
Ga  0.2894  0.2894  0.0000  0.02
Zn  0.5000  0.0000  0.5000  -0.01
Ga  0.2581  0.7419  0.6257  0.02
Ga  0.5000  0.5000  0.7998  -0.01
Pu  0.5000  0.0000  0.1890  5.28
Pu  0.5000  0.0000  0.8110  5.28


The following is a DFT calculation (GGA-PBE) of a geometry-optimized BiAs2HO6 structure.

- final energy (eV per formula unit) = -56.33
- space group = C2/c (15)
- theoretical density (g/cm3) = 5.9

Unit cell a=6.7889 b=7.1114 c=7.1114 alpha=69.39 beta=60.73 gamma=60.73
Atoms (fractional coordinates):
O  0.9173  0.2336  0.4472
Bi  0.2500  0.8599  0.1401
O  0.4751  0.2402  0.6166
O  0.1811  0.9215  0.8070
O  0.5249  0.7598  0.3834
As  0.8437  0.6603  0.6985
O  0.9751  0.6166  0.2402
O  0.0827  0.7664  0.5528
O  0.6811  0.8070  0.9215
H  0.2500  0.3173  0.6827
As  0.3437  0.6985  0.6603
O  0.3189  0.1930  0.0785
H  0.7500  0.6827  0.3173
O  0.5827  0.5528  0.7664
O  0.4173  0.4472  0.2336
As  0.6563  0.3015  0.3397
O  0.0249  0.3834  0.7598
Bi  0.7500  0.1401  0.8599
O  0.8189  0.0785  0.1930
As  0.1563  0.3397  0.3015


The following is a DFT calculation (GGA-PBE) of a geometry-optimized CdTc4I2 structure.

- formation energy without anion corrections (eV per atom) = 1.97
- final energy (eV per formula unit) = -31.67
- space group = I4/mmm (139)
- theoretical density (g/cm3) = 7.1

Unit cell a=5.0311 b=5.0311 c=7.8278 alpha=71.25 beta=71.25 gamma=90.00
Each line ends with the local moment (μB).
Atoms (fractional coordinates):
Tc  0.5000  0.0000  0.0000  -2.06
Cd  0.0000  0.0000  0.0000  0.01
I  0.6203  0.6203  0.7593  0.03
Tc  0.0000  0.5000  0.0000  -2.06
Tc  0.8068  0.8068  0.3864  2.68
I  0.3797  0.3797  0.2407  0.03
Tc  0.1932  0.1932  0.6136  2.68


The following is a DFT calculation (GGA-PBE) of a geometry-optimized NaMgTe3As structure.

- formation energy without anion corrections (eV per atom) = -0.51
- final energy (eV per formula unit) = -20.02
- space group = P2_1/m (11)
- theoretical density (g/cm3) = 4.2

Unit cell a=4.3223 b=10.3564 c=9.0424 alpha=102.52 beta=90.00 gamma=90.00
Atoms (fractional coordinates):
As  0.7500  0.3348  0.9094
Te  0.7500  0.8407  0.0460
Na  0.2500  0.3000  0.3040
As  0.2500  0.6652  0.0906
Na  0.7500  0.7000  0.6960
Te  0.2500  0.1593  0.9540
Te  0.7500  0.4886  0.1854
Te  0.7500  0.1914  0.5085
Te  0.2500  0.5114  0.8146
Te  0.2500  0.8086  0.4915
Mg  0.2500  0.0806  0.6377
Mg  0.7500  0.9194  0.3623


The following is a DFT calculation (GGA-PBE) of a geometry-optimized LiFe3C structure.

- final energy (eV per formula unit) = -26.48
- space group = Pm-3m (221)
- theoretical density (g/cm3) = 5.2
- energy above the lowest structure with this stoichiometry (meV/atom) = 1895
- energy of formation from the pure elements (eV per atom) = 2.008

Unit cell a=3.9092 b=3.9092 c=3.9092 alpha=90.00 beta=90.00 gamma=90.00
Each line ends with the local moment (μB).
Atoms (fractional coordinates):
Fe  0.5000  0.0000  0.0000  2.46
Li  0.0000  0.0000  0.0000  -0.16
C  0.5000  0.5000  0.5000  0.01
Fe  0.0000  0.5000  0.0000  2.85
Fe  0.0000  0.0000  0.5000  2.91


The following is a DFT calculation (GGA-PBE) of a geometry-optimized Dy3In4Co2 structure.

- final energy (eV per formula unit) = -42.38
- space group = P-6 (174)
- theoretical density (g/cm3) = 9.0
- energy above the lowest structure with this stoichiometry (meV/atom) = 0
- energy of formation from the pure elements (eV per atom) = -0.379

Unit cell a=7.9088 b=7.9088 c=3.6067 alpha=90.00 beta=90.00 gamma=120.00
Each line ends with the local moment (μB).
Atoms (fractional coordinates):
Dy  0.0457  0.2912  0.5000  0.00
In  0.6629  0.0783  0.0000  -0.01
Co  0.6667  0.3333  0.5000  0.70
In  0.4153  0.3371  0.0000  -0.01
In  0.3333  0.6667  0.0000  -0.01
Dy  0.2455  0.9543  0.5000  0.00
Co  0.0000  0.0000  0.0000  -0.05
In  0.9217  0.5847  0.0000  -0.01
Dy  0.7088  0.7545  0.5000  0.00


The following is a DFT calculation (GGA-PBE) of a geometry-optimized ThUTc3 structure.

- final energy (eV per formula unit) = -50.01
- space group = Imma (74)
- theoretical density (g/cm3) = 12.8
- energy of formation from the pure elements (eV per atom) = -0.041

Unit cell a=5.8536 b=8.7610 c=6.5323 alpha=132.11 beta=116.62 gamma=90.00
Atoms (fractional coordinates):
U  0.5000  0.0000  0.0000
Tc  0.6928  0.6928  0.8856
U  0.0000  0.5000  0.0000
Tc  0.1928  0.6928  0.8856
Th  0.2500  0.2533  0.5000
Th  0.7500  0.7467  0.5000
Tc  0.3072  0.3072  0.1144
Tc  0.2500  0.9409  0.5000
Tc  0.7500  0.0591  0.5000
Tc  0.8072  0.3072  0.1144


The following is a DFT calculation (GGA-PBE) of a geometry-optimized Pa2Si4Ir3Pt structure.

- formation energy without anion corrections (eV per atom) = -0.98
- final energy (eV per formula unit) = -83.07
- space group = P-4m2 (115)
- theoretical density (g/cm3) = 13.2

Unit cell a=4.1166 b=4.1166 c=10.0072 alpha=90.00 beta=90.00 gamma=90.00
Atoms (fractional coordinates):
Si  0.5000  0.5000  0.0000
Si  0.0000  0.5000  0.3625
Ir  0.0000  0.0000  0.5000
Pa  0.0000  0.5000  0.7565
Ir  0.5000  0.0000  0.8725
Ir  0.0000  0.5000  0.1275
Pa  0.5000  0.0000  0.2435
Si  0.5000  0.0000  0.6375
Pt  0.5000  0.5000  0.5000
Si  0.0000  0.0000  0.0000


The following is a DFT calculation (GGA-PBE) of a geometry-optimized Cs3CdGe2Br9 structure.

- formation energy without anion corrections (eV per atom) = -1.14
- final energy (eV per formula unit) = -44.88
- space group = P-3m1 (164)
- theoretical density (g/cm3) = 4.3

Unit cell a=7.9358 b=7.9358 c=9.7190 alpha=90.00 beta=90.00 gamma=120.00
Atoms (fractional coordinates):
Cs  0.0000  0.0000  0.0000
Cd  0.0000  0.0000  0.5000
Br  0.1669  0.3339  0.3325
Br  0.8331  0.1669  0.6675
Br  0.1669  0.8331  0.3325
Br  0.8331  0.6661  0.6675
Cs  0.3333  0.6667  0.6636
Br  0.5000  0.0000  0.0000
Br  0.5000  0.5000  0.0000
Br  0.0000  0.5000  0.0000
Ge  0.3333  0.6667  0.1647
Cs  0.6667  0.3333  0.3364
Br  0.3339  0.1669  0.6675
Ge  0.6667  0.3333  0.8353
Br  0.6661  0.8331  0.3325


The following is a DFT calculation (GGA-PBE) of a geometry-optimized BaTa2Br structure.

- formation energy without anion corrections (eV per atom) = 1.09
- final energy (eV per formula unit) = -22.95
- space group = Pmmm (47)
- theoretical density (g/cm3) = 8.1
- energy above the lowest structure with this stoichiometry (meV/atom) = 957

Unit cell a=3.2371 b=6.2165 c=5.8682 alpha=90.00 beta=90.00 gamma=90.00
Atoms (fractional coordinates):
Br  0.5000  0.5000  0.7500
Ta  0.0000  0.0000  0.4612
Ba  0.5000  0.5000  0.2500
Ta  0.0000  0.0000  0.0388


The following is a DFT calculation (GGA-PBE) of a geometry-optimized Cr4Tc structure.

- final energy (eV per formula unit) = -41.12
- space group = Pm-3m (221)
- theoretical density (g/cm3) = 5.1
- energy above the lowest structure with this stoichiometry (meV/atom) = 1526
- energy of formation from the pure elements (eV per atom) = 1.547

Unit cell a=4.6377 b=4.6377 c=4.6377 alpha=90.00 beta=90.00 gamma=90.00
Each line ends with the local moment (μB).
Atoms (fractional coordinates):
Cr  0.0000  0.5000  0.5000  2.91
Cr  0.5000  0.5000  0.0000  2.91
Cr  0.5000  0.0000  0.5000  2.91
Tc  0.5000  0.5000  0.5000  -0.79
Cr  0.0000  0.0000  0.0000  3.90


The following is a DFT calculation (GGA-PBE) of a geometry-optimized CsSrNbO4 structure.

- formation energy without anion corrections (eV per atom) = -2.56
- final energy (eV per formula unit) = -50.37
- space group = P2_1/m (11)
- theoretical density (g/cm3) = 3.8

Unit cell a=6.4875 b=6.5088 c=8.0903 alpha=90.00 beta=105.36 gamma=90.00
Atoms (fractional coordinates):
O  0.0824  0.5256  0.3306
Nb  0.7272  0.2500  0.6514
Cs  0.2967  0.2500  0.0727
O  0.9176  0.4744  0.6694
Sr  0.8049  0.7500  0.4520
Sr  0.1951  0.2500  0.5480
Nb  0.2728  0.7500  0.3486
O  0.5496  0.2500  0.8012
O  0.5329  0.2500  0.4361
O  0.9176  0.0256  0.6694
O  0.0824  0.9744  0.3306
Cs  0.7033  0.7500  0.9273
O  0.4504  0.7500  0.1988
O  0.4671  0.7500  0.5639